Material: Ac5Ga2O12
Method: DFT, PBE
State: relaxed

The structure in POSCAR format:
```
Ac5Ga2O12
1.0
-5.7258 -1.4767 2.0882
3.3938 -5.2518 -3.8246
2.8845 -0.5659 7.5090
Ac Ga O
5 2 12
Direct
0.3148 0.6296 0.6487
0.3067 0.6135 0.1611
0.0000 0.0000 0.5000
0.6933 0.3865 0.8389
0.6852 0.3704 0.3513
0.7565 0.0000 0.0000
0.2435 0.0000 0.0000
0.0047 0.0094 0.1726
0.1023 0.6882 0.9240
0.5859 0.6882 0.9240
0.0918 0.6873 0.4192
0.5956 0.6873 0.4192
0.5025 0.0051 0.8334
0.4975 0.9949 0.1666
0.9082 0.3127 0.5808
0.4044 0.3127 0.5808
0.8977 0.3118 0.0760
0.4141 0.3118 0.0760
0.9953 0.9906 0.8274
```

- SG = C2/m
- DOS at the Fermi energy (states/eV/f.u.) = 13.35
- uncorrected energy (eV/atom) = -7.1340
- raw formation energy (eV per atom) = -2.603